Entry 1:
TmIn2Pd8 after structural relaxation, computed with GGA-PBE.

Calculated values
Energy of formation from the pure elements = -571 meV per atom
Relative energy among the computed polymorphs = 0 meV per atom

abc: 4.164 6.498 7.545
angles: 106.92 106.02 90.00
Fractional coordinates of all 11 atoms:
Tm1 0.500 0.000 0.000
In1 0.780 0.343 0.559
In2 0.220 0.657 0.441
Pd1 0.406 0.539 0.812
Pd2 0.679 0.914 0.359
Pd3 0.859 0.807 0.718
Pd4 0.960 0.277 0.921
Pd5 0.141 0.193 0.282
Pd6 0.321 0.086 0.641
Pd7 0.594 0.461 0.188
Pd8 0.040 0.723 0.079


Entry 2:
TmIn3Pd6 after structural relaxation, computed with GGA-PBE.

Calculated values
Energy of formation from the pure elements = -625 meV per atom
Relative energy among the computed polymorphs = 0 meV per atom

abc: 4.432 8.475 9.646
angles: 99.90 90.00 90.00
Fractional coordinates of all 20 atoms:
Tm1 0.250 0.939 0.622
Tm2 0.750 0.061 0.378
In1 0.250 0.547 0.396
In2 0.750 0.453 0.604
In3 0.250 0.348 0.810
In4 0.750 0.652 0.190
In5 0.250 0.759 0.976
In6 0.750 0.241 0.024
Pd1 0.250 0.450 0.099
Pd2 0.750 0.550 0.901
Pd3 0.250 0.150 0.217
Pd4 0.750 0.850 0.783
Pd5 0.250 0.630 0.693
Pd6 0.750 0.370 0.307
Pd7 0.250 0.255 0.517
Pd8 0.750 0.745 0.483
Pd9 0.250 0.840 0.290
Pd10 0.750 0.160 0.710
Pd11 0.250 0.064 0.914
Pd12 0.750 0.936 0.086


Entry 3:
TmIn4Pd2 after structural relaxation, computed with GGA-PBE.

Calculated values
Energy of formation from the pure elements = -503 meV per atom

abc: 4.465 7.375 18.396
angles: 90.00 90.00 90.00
Fractional coordinates of all 28 atoms:
Tm1 0.750 0.950 0.644
Tm2 0.250 0.050 0.356
Tm3 0.250 0.450 0.856
Tm4 0.750 0.550 0.144
In1 0.250 0.243 0.690
In2 0.750 0.757 0.310
In3 0.750 0.743 0.810
In4 0.250 0.257 0.190
In5 0.250 0.656 0.687
In6 0.750 0.344 0.313
In7 0.750 0.156 0.813
In8 0.250 0.844 0.187
In9 0.250 0.136 0.534
In10 0.750 0.864 0.466
In11 0.750 0.636 0.966
In12 0.250 0.364 0.034
In13 0.250 0.497 0.431
In14 0.750 0.503 0.569
In15 0.750 0.997 0.069
In16 0.250 0.003 0.931
Pd1 0.250 0.752 0.543
Pd2 0.750 0.248 0.457
Pd3 0.750 0.252 0.957
Pd4 0.250 0.748 0.043
Pd5 0.250 0.947 0.780
Pd6 0.750 0.053 0.220
Pd7 0.750 0.447 0.720
Pd8 0.250 0.553 0.280


Entry 4:
Tm4InPd15 after structural relaxation, computed with GGA-PBE.

Calculated values
Energy of formation from the pure elements = -821 meV per atom

abc: 4.085 4.085 20.392
angles: 90.00 90.00 90.00
Fractional coordinates of all 20 atoms:
Tm1 0.000 0.000 0.198
Tm2 0.000 0.000 0.399
Tm3 0.000 0.000 0.601
Tm4 0.000 0.000 0.802
In1 0.000 0.000 0.000
Pd1 0.500 0.500 0.000
Pd2 0.500 0.500 0.198
Pd3 0.500 0.500 0.399
Pd4 0.500 0.500 0.601
Pd5 0.500 0.500 0.802
Pd6 0.500 0.000 0.098
Pd7 0.500 0.000 0.299
Pd8 0.500 0.000 0.500
Pd9 0.500 0.000 0.701
Pd10 0.500 0.000 0.902
Pd11 0.000 0.500 0.098
Pd12 0.000 0.500 0.299
Pd13 0.000 0.500 0.500
Pd14 0.000 0.500 0.701
Pd15 0.000 0.500 0.902


Entry 5:
Tm6InPd2 after structural relaxation, computed with GGA-PBE.

Calculated values
Energy of formation from the pure elements = -567 meV per atom

abc: 8.457 8.457 8.457
angles: 105.16 110.62 112.72
Fractional coordinates of all 18 atoms:
Tm1 0.527 0.711 0.816
Tm2 0.473 0.289 0.184
Tm3 0.105 0.289 0.816
Tm4 0.895 0.711 0.184
Tm5 0.799 0.762 0.561
Tm6 0.201 0.238 0.439
Tm7 0.201 0.762 0.963
Tm8 0.799 0.238 0.037
Tm9 0.701 0.374 0.673
Tm10 0.299 0.626 0.327
Tm11 0.299 0.972 0.673
Tm12 0.701 0.028 0.327
In1 0.000 0.500 0.500
In2 0.000 0.000 0.000
Pd1 0.500 0.366 0.866
Pd2 0.500 0.634 0.134
Pd3 0.656 0.000 0.656
Pd4 0.344 0.000 0.344


Entry 6:
Tm2InPd3 after structural relaxation, computed with GGA-PBE.

Calculated values
Energy of formation from the pure elements = -874 meV per atom

abc: 4.835 4.835 11.685
angles: 90.00 90.00 120.00
Fractional coordinates of all 12 atoms:
Tm1 0.000 0.000 0.500
Tm2 0.333 0.667 0.178
Tm3 0.667 0.333 0.822
Tm4 0.000 0.000 0.000
In1 0.333 0.667 0.668
In2 0.667 0.333 0.332
Pd1 0.333 0.667 0.426
Pd2 0.667 0.333 0.080
Pd3 0.000 0.000 0.750
Pd4 0.000 0.000 0.250
Pd5 0.333 0.667 0.920
Pd6 0.667 0.333 0.574


Entry 7:
Tm2In2Pd7 after structural relaxation, computed with GGA-PBE.

Calculated values
Energy of formation from the pure elements = -333 meV per atom

abc: 5.776 7.093 5.776
angles: 90.00 102.54 90.00
Fractional coordinates of all 11 atoms:
Tm1 0.700 0.000 0.300
Tm2 0.300 0.000 0.700
In1 0.808 0.500 0.808
In2 0.192 0.500 0.192
Pd1 0.000 0.291 0.500
Pd2 0.500 0.709 0.000
Pd3 0.000 0.709 0.500
Pd4 0.500 0.291 0.000
Pd5 0.000 0.000 0.000
Pd6 0.500 0.711 0.500
Pd7 0.500 0.289 0.500


Entry 8:
TmInPd after structural relaxation, computed with GGA-PBE.

Calculated values
Energy of formation from the pure elements = -809 meV per atom

abc: 7.731 7.731 3.736
angles: 90.00 90.00 120.00
Fractional coordinates of all 9 atoms:
Tm1 0.405 0.405 0.500
Tm2 0.595 0.000 0.500
Tm3 0.000 0.595 0.500
In1 0.736 0.736 0.000
In2 0.264 0.000 0.000
In3 0.000 0.264 0.000
Pd1 0.000 0.000 0.500
Pd2 0.667 0.333 0.000
Pd3 0.333 0.667 0.000